P:
Compound: Ho3ThSc2
Source: the Alexandria database
Functional: PBE-GGA
Structure: optimized geometry

abc: 4.8720 10.3888 19.8457
angles: 21.75 82.95 76.44
Last column: nearest neighbours and their distance in Å.
Atoms (fractional coordinates):
Sc 0.3756 0.8728 0.3761  9 Ho 3.44-3.46, 2 Sc 3.46-3.52, 1 Th 3.46
Sc 0.8783 0.3649 0.8785  2 Sc 3.38-3.52, 4 Th 3.40-3.43, 6 Ho 3.45-3.48
Sc 0.1217 0.6351 0.1215  2 Sc 3.38-3.52, 4 Th 3.40-3.43, 6 Ho 3.45-3.48
Sc 0.6244 0.1272 0.6239  9 Ho 3.44-3.46, 2 Sc 3.46-3.52, 1 Th 3.46
Ho 0.2928 0.4564 0.9580  6 Ho 3.40-3.49, 1 Th 3.43, 5 Sc 3.45-3.46
Ho 0.7907 0.9644 0.4543  4 Ho 3.40-3.48, 5 Sc 3.44-3.48, 3 Th 3.49
Ho 0.0411 0.2110 0.7067  5 Ho 3.42-3.49, 5 Sc 3.44-3.45, 2 Th 3.46
Ho 0.9589 0.7890 0.2933  5 Ho 3.42-3.49, 5 Sc 3.44-3.45, 2 Th 3.46
Ho 0.7072 0.5436 0.0420  6 Ho 3.40-3.49, 1 Th 3.43, 5 Sc 3.45-3.46
Ho 0.2093 0.0356 0.5457  4 Ho 3.40-3.48, 5 Sc 3.44-3.48, 3 Th 3.49
Th 0.4605 0.2827 0.7963  1 Th 3.39, 5 Sc 3.40-3.46, 6 Ho 3.43-3.49
Th 0.5395 0.7173 0.2037  1 Th 3.39, 5 Sc 3.40-3.46, 6 Ho 3.43-3.49

Values from the calculation:
Fermi-level density of states   20.48 states/eV per cell
ρ   7.77 g cm⁻³



Q:
Compound: Ho3ThSc2
Source: the Alexandria database
Functional: PBE-GGA
Structure: optimized geometry

abc: 3.5826 8.4604 11.5995
angles: 88.60 90.00 90.00
Last column: nearest neighbours and their distance in Å.
Atoms (fractional coordinates):
Ho 0.7500 0.5981 0.2465  5 Sc 3.44-3.65, 7 Ho 3.50-3.65, 1 Th 3.57
Ho 0.2500 0.8834 0.4076  3 Sc 3.29-3.46, 2 Th 3.42, 6 Ho 3.45-3.58
Ho 0.7500 0.1166 0.5924  3 Sc 3.29-3.46, 2 Th 3.42, 6 Ho 3.45-3.58
Ho 0.7500 0.6607 0.9473  2 Th 3.36, 7 Ho 3.45-3.65, 3 Sc 3.48-3.52
Ho 0.2500 0.4019 0.7535  5 Sc 3.44-3.65, 7 Ho 3.50-3.65, 1 Th 3.57
Ho 0.2500 0.3393 0.0527  2 Th 3.36, 7 Ho 3.45-3.65, 3 Sc 3.48-3.52
Sc 0.7500 0.0717 0.8898  4 Sc 3.33-3.58, 2 Th 3.36, 6 Ho 3.46-3.65
Sc 0.7500 0.6203 0.5532  2 Sc 3.00, 2 Th 3.24, 2 Ho 3.29
Sc 0.2500 0.9283 0.1102  4 Sc 3.33-3.58, 2 Th 3.36, 6 Ho 3.46-3.65
Sc 0.2500 0.3797 0.4468  2 Sc 3.00, 2 Th 3.24, 2 Ho 3.29
Th 0.7500 0.1772 0.2708  4 Sc 3.24-3.36, 5 Ho 3.36-3.57, 2 Th 3.58
Th 0.2500 0.8228 0.7292  4 Sc 3.24-3.36, 5 Ho 3.36-3.57, 2 Th 3.58

Values from the calculation:
Fermi-level density of states   16.80 states/eV per cell
ρ   7.72 g cm⁻³



The relative energies come out as P 0; Q 17, with values in meV per atom.



P:
Compound: Ho3ThSc3
Source: the Alexandria database
Functional: PBE-GGA
Structure: optimized geometry

abc: 5.4449 9.2052 9.2056
angles: 120.00 90.00 90.00
Last column: nearest neighbours and their distance in Å.
Atoms (fractional coordinates):
Ho 0.2500 0.2453 0.0521  5 Sc 3.38-3.57, 6 Ho 3.41-3.57, 1 Th 3.42
Ho 0.7500 0.7547 0.9479  5 Sc 3.38-3.57, 6 Ho 3.41-3.57, 1 Th 3.42
Ho 0.2500 0.8067 0.7547  5 Sc 3.38-3.57, 6 Ho 3.41-3.57, 1 Th 3.42
Ho 0.7500 0.0521 0.8067  5 Sc 3.38-3.57, 6 Ho 3.41-3.57, 1 Th 3.42
Ho 0.7500 0.1933 0.2453  5 Sc 3.38-3.57, 6 Ho 3.41-3.57, 1 Th 3.42
Ho 0.2500 0.9479 0.1933  5 Sc 3.38-3.57, 6 Ho 3.41-3.57, 1 Th 3.42
Sc 0.7500 0.4852 0.0969  4 Sc 3.34-3.42, 3 Th 3.36-3.48, 5 Ho 3.38-3.57
Sc 0.7500 0.9032 0.3883  4 Sc 3.34-3.42, 3 Th 3.36-3.48, 5 Ho 3.38-3.57
Sc 0.2500 0.5148 0.9031  4 Sc 3.34-3.42, 3 Th 3.36-3.48, 5 Ho 3.38-3.57
Sc 0.2500 0.0968 0.6116  4 Sc 3.34-3.42, 3 Th 3.36-3.48, 5 Ho 3.38-3.57
Sc 0.7500 0.6117 0.5148  4 Sc 3.34-3.42, 3 Th 3.36-3.48, 5 Ho 3.38-3.57
Sc 0.2500 0.3883 0.4852  4 Sc 3.34-3.42, 3 Th 3.36-3.48, 5 Ho 3.38-3.57
Th 0.2500 0.6667 0.3333  9 Sc 3.36-3.48, 3 Ho 3.42
Th 0.7500 0.3333 0.6667  9 Sc 3.36-3.48, 3 Ho 3.42

Values from the calculation:
Fermi-level density of states   23.88 states/eV per cell
ρ   7.16 g cm⁻³



Q:
Compound: Ho3ThSc3
Source: the Alexandria database
Functional: PBE-GGA
Structure: optimized geometry

abc: 6.6070 6.6070 9.7068
angles: 93.21 93.21 103.74
Last column: nearest neighbours and their distance in Å.
Atoms (fractional coordinates):
Th 0.3018 0.3018 0.0290  4 Sc 3.19-3.27, 4 Ho 3.27-3.42, 1 Th 3.33
Th 0.6982 0.6982 0.9710  4 Sc 3.19-3.27, 4 Ho 3.27-3.42, 1 Th 3.33
Sc 0.9145 0.5141 0.7240  3 Ho 3.04-3.40, 1 Th 3.19, 1 Sc 3.20
Sc 0.0855 0.4859 0.2760  3 Ho 3.04-3.40, 1 Th 3.19, 1 Sc 3.20
Sc 0.9895 0.9895 0.2182  5 Ho 3.19-3.36, 2 Sc 3.20, 2 Th 3.22-3.27
Sc 0.5141 0.9145 0.7240  3 Ho 3.04-3.40, 1 Th 3.19, 1 Sc 3.20
Sc 0.4859 0.0855 0.2760  3 Ho 3.04-3.40, 1 Th 3.19, 1 Sc 3.20
Sc 0.0105 0.0105 0.7818  5 Ho 3.19-3.36, 2 Sc 3.20, 2 Th 3.22-3.27
Ho 0.2298 0.7702 0.0000  6 Sc 3.20-3.41, 4 Th 3.27-3.42
Ho 0.6270 0.6270 0.3571  5 Sc 3.36-3.51, 3 Ho 3.61-3.62
Ho 0.3730 0.3730 0.6429  5 Sc 3.36-3.51, 3 Ho 3.61-3.62
Ho 0.8415 0.1585 0.5000  6 Sc 3.04-3.36, 1 Ho 3.30
Ho 0.1585 0.8415 0.5000  6 Sc 3.04-3.36, 1 Ho 3.30
Ho 0.7702 0.2298 0.0000  6 Sc 3.20-3.41, 4 Th 3.27-3.42

Values from the calculation:
Fermi-level density of states   19.64 states/eV per cell
ρ   6.98 g cm⁻³



The relative energies come out as P 0; Q 184, with values in meV per atom.



P:
Compound: Ho8Th2Sc
Source: the Alexandria database
Functional: PBE-GGA
Structure: optimized geometry

abc: 5.5900 9.9040 9.9040
angles: 40.84 91.55 91.55
Last column: nearest neighbours and their distance in Å.
Atoms (fractional coordinates):
Sc 0.0000 0.0000 0.0000  6 Ho 3.38-3.50
Ho 0.2581 0.1401 0.6033  5 Ho 3.20-3.56, 1 Th 3.37, 1 Sc 3.38
Ho 0.2360 0.5470 0.5470  2 Ho 3.12-3.47, 1 Th 3.21
Ho 0.7419 0.3967 0.8599  5 Ho 3.20-3.56, 1 Th 3.37, 1 Sc 3.38
Ho 0.7419 0.8599 0.3967  5 Ho 3.20-3.56, 1 Th 3.37, 1 Sc 3.38
Ho 0.7640 0.4530 0.4530  2 Ho 3.12-3.47, 1 Th 3.21
Ho 0.7663 0.8228 0.8228  4 Th 3.35-3.55, 4 Ho 3.42-3.53, 1 Sc 3.50
Ho 0.2337 0.1772 0.1772  4 Th 3.35-3.55, 4 Ho 3.42-3.53, 1 Sc 3.50
Ho 0.2581 0.6033 0.1401  5 Ho 3.20-3.56, 1 Th 3.37, 1 Sc 3.38
Th 0.2636 0.7201 0.7201  9 Ho 3.21-3.59
Th 0.7364 0.2799 0.2799  9 Ho 3.21-3.59

Values from the calculation:
Fermi-level density of states   17.16 states/eV per cell
ρ   8.47 g cm⁻³



Q:
Compound: Ho8Th2Sc
Source: the Alexandria database
Functional: PBE-GGA
Structure: optimized geometry

abc: 6.5348 6.5546 8.8669
angles: 111.69 99.94 90.00
Last column: nearest neighbours and their distance in Å.
Atoms (fractional coordinates):
Ho 0.6080 0.6586 0.8335  1 Sc 3.16, 4 Ho 3.17-3.46, 2 Th 3.26-3.39
Ho 0.0925 0.4073 0.8147  1 Th 3.34, 8 Ho 3.49-3.70, 2 Sc 3.71
Ho 0.6080 0.1748 0.8335  1 Sc 3.16, 4 Ho 3.17-3.46, 2 Th 3.26-3.39
Ho 0.9075 0.5927 0.1853  1 Th 3.34, 8 Ho 3.49-3.70, 2 Sc 3.71
Ho 0.8188 0.1920 0.3840  4 Th 3.37-3.63, 5 Ho 3.46-3.76, 1 Sc 3.58
Ho 0.3920 0.3414 0.1665  1 Sc 3.16, 4 Ho 3.17-3.46, 2 Th 3.26-3.39
Ho 0.1812 0.8080 0.6160  4 Th 3.37-3.63, 5 Ho 3.46-3.76, 1 Sc 3.58
Ho 0.3920 0.8252 0.1665  1 Sc 3.16, 4 Ho 3.17-3.46, 2 Th 3.26-3.39
Th 0.3412 0.2478 0.4955  9 Ho 3.26-3.63
Th 0.6588 0.7522 0.5045  9 Ho 3.26-3.63
Sc 0.0000 0.0000 0.0000  4 Ho 3.16

Values from the calculation:
Fermi-level density of states   15.42 states/eV per cell
ρ   8.76 g cm⁻³



The relative energies come out as P 30; Q 0, with values in meV per atom.



P:
Compound: Ho2Th6Sc
Source: the Alexandria database
Functional: PBE-GGA
Structure: optimized geometry

abc: 6.4671 9.6375 9.6375
angles: 75.58 83.92 83.92
Last column: nearest neighbours and their distance in Å.
Atoms (fractional coordinates):
Th 0.2197 0.9949 0.2326  2 Sc 3.25-3.63, 4 Th 3.44-3.52, 1 Ho 3.61
Th 0.2803 0.7674 0.0051  2 Sc 3.25-3.63, 4 Th 3.44-3.52, 1 Ho 3.61
Th 0.9929 0.3764 0.6633  6 Th 3.28-3.62, 1 Sc 3.30, 3 Ho 3.54-3.65
Th 0.5071 0.3367 0.6236  6 Th 3.28-3.62, 1 Sc 3.30, 3 Ho 3.54-3.65
Th 0.2620 0.0621 0.5631  1 Sc 3.26, 3 Ho 3.34-3.60, 5 Th 3.40-3.62
Th 0.0071 0.6236 0.3367  6 Th 3.28-3.62, 1 Sc 3.30, 3 Ho 3.54-3.65
Th 0.7380 0.9379 0.4369  1 Sc 3.26, 3 Ho 3.34-3.60, 5 Th 3.40-3.62
Th 0.7197 0.2326 0.9949  2 Sc 3.25-3.63, 4 Th 3.44-3.52, 1 Ho 3.61
Th 0.4929 0.6633 0.3764  6 Th 3.28-3.62, 1 Sc 3.30, 3 Ho 3.54-3.65
Th 0.2380 0.4369 0.9379  1 Sc 3.26, 3 Ho 3.34-3.60, 5 Th 3.40-3.62
Th 0.7803 0.0051 0.7674  2 Sc 3.25-3.63, 4 Th 3.44-3.52, 1 Ho 3.61
Th 0.7620 0.5631 0.0621  1 Sc 3.26, 3 Ho 3.34-3.60, 5 Th 3.40-3.62
Ho 0.6260 0.6593 0.7241  2 Ho 3.32, 8 Th 3.34-3.71
Ho 0.1260 0.7241 0.6593  2 Ho 3.32, 8 Th 3.34-3.71
Ho 0.3740 0.3407 0.2759  2 Ho 3.32, 8 Th 3.34-3.71
Ho 0.8740 0.2759 0.3407  2 Ho 3.32, 8 Th 3.34-3.71
Sc 0.7500 0.8856 0.1144  8 Th 3.25-3.63
Sc 0.2500 0.1144 0.8856  8 Th 3.25-3.63

Values from the calculation:
Fermi-level density of states   27.66 states/eV per cell
ρ   10.18 g cm⁻³



Q:
Compound: Ho2Th6Sc
Source: the Alexandria database
Functional: PBE-GGA
Structure: optimized geometry

abc: 3.5146 3.5146 26.5459
angles: 90.00 90.00 120.00
Last column: nearest neighbours and their distance in Å.
Atoms (fractional coordinates):
Sc 0.3333 0.6667 0.0000  6 Th 3.44, 6 Sc 3.51
Th 0.3333 0.6667 0.7842  9 Th 3.51-3.58, 3 Ho 3.59
Th 0.3333 0.6667 0.5626  7 Th 3.32-3.51, 3 Ho 3.56
Th 0.6667 0.3333 0.8953  3 Sc 3.44, 9 Th 3.51-3.58
Th 0.3333 0.6667 0.2158  9 Th 3.51-3.58, 3 Ho 3.59
Th 0.6667 0.3333 0.1047  3 Sc 3.44, 9 Th 3.51-3.58
Th 0.3333 0.6667 0.4374  7 Th 3.32-3.51, 3 Ho 3.56
Ho 0.6667 0.3333 0.6727  6 Ho 3.51, 6 Th 3.56-3.59
Ho 0.6667 0.3333 0.3273  6 Ho 3.51, 6 Th 3.56-3.59

Values from the calculation:
Fermi-level density of states   15.83 states/eV per cell
ρ   10.33 g cm⁻³



The relative energies come out as P 114; Q 0, with values in meV per atom.



P:
Compound: Ho3ThSc4
Source: the Alexandria database
Functional: PBE-GGA
Structure: optimized geometry

abc: 5.9724 6.8997 10.8844
angles: 90.00 90.00 90.00
Last column: nearest neighbours and their distance in Å.
Atoms (fractional coordinates):
Ho 0.9851 0.6326 0.2488  6 Sc 3.36-3.54, 4 Ho 3.41-3.50, 2 Th 3.41-3.42
Ho 0.1383 0.3693 0.5000  6 Sc 3.35-3.54, 4 Ho 3.41, 2 Th 3.49-3.53
Ho 0.4851 0.3674 0.7488  6 Sc 3.36-3.54, 4 Ho 3.41-3.50, 2 Th 3.41-3.42
Ho 0.9851 0.6326 0.7512  6 Sc 3.36-3.54, 4 Ho 3.41-3.50, 2 Th 3.41-3.42
Ho 0.6383 0.6307 0.0000  6 Sc 3.35-3.54, 4 Ho 3.41, 2 Th 3.49-3.53
Ho 0.4851 0.3674 0.2512  6 Sc 3.36-3.54, 4 Ho 3.41-3.50, 2 Th 3.41-3.42
Sc 0.4819 0.8811 0.7506  6 Sc 3.32-3.41, 1 Th 3.35, 5 Ho 3.35-3.54
Sc 0.4819 0.8811 0.2494  6 Sc 3.32-3.41, 1 Th 3.35, 5 Ho 3.35-3.54
Sc 0.6477 0.1162 0.5000  2 Th 3.31-3.59, 6 Sc 3.32-3.42, 4 Ho 3.36-3.51
Sc 0.6528 0.1180 0.0000  6 Sc 3.33-3.42, 4 Ho 3.36-3.54, 2 Th 3.38-3.49
Sc 0.1477 0.8838 0.0000  2 Th 3.31-3.59, 6 Sc 3.32-3.42, 4 Ho 3.36-3.51
Sc 0.9819 0.1189 0.2506  6 Sc 3.32-3.41, 1 Th 3.35, 5 Ho 3.35-3.54
Sc 0.1528 0.8820 0.5000  6 Sc 3.33-3.42, 4 Ho 3.36-3.54, 2 Th 3.38-3.49
Sc 0.9819 0.1189 0.7494  6 Sc 3.32-3.41, 1 Th 3.35, 5 Ho 3.35-3.54
Th 0.1424 0.3637 0.0000  6 Sc 3.31-3.59, 6 Ho 3.41-3.53
Th 0.6424 0.6363 0.5000  6 Sc 3.31-3.59, 6 Ho 3.41-3.53

Values from the calculation:
Fermi-level density of states   29.35 states/eV per cell
ρ   6.71 g cm⁻³



Q:
Compound: Ho3ThSc4
Source: the Alexandria database
Functional: PBE-GGA
Structure: optimized geometry

abc: 3.2667 8.4858 8.4864
angles: 81.02 78.90 78.91
Last column: nearest neighbours and their distance in Å.
Atoms (fractional coordinates):
Ho 0.7615 0.2386 0.2385  6 Sc 3.16-3.47, 2 Ho 3.27, 2 Th 3.40
Ho 0.0000 0.5000 0.5000  6 Ho 3.27-3.65, 8 Sc 3.61
Ho 0.2385 0.7614 0.7615  6 Sc 3.16-3.47, 2 Ho 3.27, 2 Th 3.40
Sc 0.6356 0.6128 0.1162  3 Ho 3.16-3.47, 1 Th 3.25, 5 Sc 3.27-3.38
Sc 0.3644 0.3872 0.8838  3 Ho 3.16-3.47, 1 Th 3.25, 5 Sc 3.27-3.38
Sc 0.6355 0.1162 0.6129  3 Ho 3.16-3.47, 1 Th 3.25, 5 Sc 3.27-3.38
Sc 0.3645 0.8838 0.3871  3 Ho 3.16-3.47, 1 Th 3.25, 5 Sc 3.27-3.38
Th 0.5000 0.0000 0.0000  4 Sc 3.25, 2 Th 3.27, 4 Ho 3.40

Values from the calculation:
Fermi-level density of states   15.09 states/eV per cell
ρ   6.70 g cm⁻³



The relative energies come out as P 0; Q 122, with values in meV per atom.